First-principles (GGA+U) data for CrPbNO2 after structural relaxation, as listed in Alexandria.

```
data_CrPbNO2
_cell_length_a 4.2409
_cell_length_b 4.2409
_cell_length_c 4.4069
_cell_angle_alpha 90.00
_cell_angle_beta 90.00
_cell_angle_gamma 90.00
_space_group_name_H-M_alt 'P 1'
_space_group_IT_number 1
_space_group_name_Hall 'P 1'
loop_
_atom_site_label
_atom_site_fract_x
_atom_site_fract_y
_atom_site_fract_z
_atom_site_occupancy
Pb1 0.0000 0.0000 0.0000 1
Cr1 0.5000 0.5000 0.5000 1
O1 0.0000 0.5000 0.0000 1
O2 0.5000 0.0000 0.0000 1
N1 0.0000 0.0000 0.5000 1
```

Computed properties:
M_tot	2.985	μB/cell
energy	-0.3975	Ry per atom